(1)
ThZrZnGa | PBE | relaxed

Properties
ΔH_f (0 K) in meV per atom: -254

Lattice parameters (Å, degrees): 5.0068 5.0068 5.0068 60.00 60.00 60.00
Closest atoms and distances in Å follow each position.
Fractional coordinates of all 4 atoms:
Th 0.0000 0.0000 0.0000  4 Zn 3.07, 4 Ga 3.07
Zr 0.5000 0.5000 0.5000  4 Zn 3.07, 4 Ga 3.07
Zn 0.7500 0.7500 0.7500  4 Zr 3.07, 4 Th 3.07
Ga 0.2500 0.2500 0.2500  4 Zr 3.07, 4 Th 3.07

=====

(2)
Mg6InPd2 | PBE | relaxed

Properties
Distance to the lowest polymorph of the same formula in meV/atom: 0.0
ΔH_f (0 K) in meV per atom: -379

Lattice parameters (Å, degrees): 7.8962 7.8962 7.8962 114.02 112.92 101.75
Closest atoms and distances in Å follow each position.
Fractional coordinates of all 18 atoms:
Mg 0.0359 0.8411 0.1948  3 Pd 2.62-2.78
Mg 0.2479 0.5430 0.2950  2 Pd 2.67-2.77
Mg 0.2479 0.9529 0.7050  2 Pd 2.67-2.77
Mg 0.2982 0.3129 0.6112  3 Pd 2.77-2.85, 1 In 3.06
Mg 0.2982 0.6871 0.9853  3 Pd 2.77-2.85, 1 In 3.06
Mg 0.3537 0.1589 0.1948  3 Pd 2.62-2.78
Mg 0.6463 0.8411 0.8052  3 Pd 2.62-2.78
Mg 0.7018 0.3129 0.0147  3 Pd 2.77-2.85, 1 In 3.06
Mg 0.7018 0.6871 0.3888  3 Pd 2.77-2.85, 1 In 3.06
Mg 0.7521 0.0471 0.2950  2 Pd 2.67-2.77
Mg 0.7521 0.4570 0.7050  2 Pd 2.67-2.77
Mg 0.9641 0.1589 0.8052  3 Pd 2.62-2.78
In 0.0000 0.5000 0.5000  2 Pd 2.77, 8 Mg 3.03-3.06
In 0.5000 0.0000 0.5000  12 Mg 3.07-3.22
Pd 0.0000 0.1775 0.1775  8 Mg 2.67-2.85, 1 In 2.77
Pd 0.0000 0.8225 0.8225  8 Mg 2.67-2.85, 1 In 2.77
Pd 0.3594 0.3594 0.0000  8 Mg 2.62-2.77, 1 Pd 2.80
Pd 0.6406 0.6406 0.0000  8 Mg 2.62-2.77, 1 Pd 2.80

=====

(3)
YGe4Pd2 | PBE | relaxed

Properties
ΔH_f (0 K) in meV per atom: -512

Lattice parameters (Å, degrees): 17.3063 4.3362 6.9184 90.00 90.00 90.00
Closest atoms and distances in Å follow each position.
Fractional coordinates of all 28 atoms:
Y 0.1419 0.2500 0.0203  8 Ge 3.01-3.25, 4 Pd 3.26-3.31
Y 0.3581 0.7500 0.5203  8 Ge 3.01-3.25, 4 Pd 3.26-3.31
Y 0.6419 0.2500 0.4797  8 Ge 3.01-3.25, 4 Pd 3.26-3.31
Y 0.8581 0.7500 0.9797  8 Ge 3.01-3.25, 4 Pd 3.26-3.31
Ge 0.0393 0.7500 0.8589  3 Pd 2.56-2.61, 1 Ge 2.78
Ge 0.0641 0.2500 0.4705  4 Pd 2.61-2.77, 1 Ge 2.90
Ge 0.1772 0.7500 0.3350  4 Pd 2.64-2.72, 1 Ge 2.86
Ge 0.1935 0.7500 0.7469  3 Pd 2.57-2.65, 2 Ge 2.78-2.86
Ge 0.3065 0.2500 0.2469  3 Pd 2.57-2.65, 2 Ge 2.78-2.86
Ge 0.3228 0.2500 0.8350  4 Pd 2.64-2.72, 1 Ge 2.86
Ge 0.4359 0.7500 0.9705  4 Pd 2.61-2.77, 1 Ge 2.90
Ge 0.4607 0.2500 0.3589  3 Pd 2.56-2.61, 1 Ge 2.78
Ge 0.5393 0.7500 0.6411  3 Pd 2.56-2.61, 1 Ge 2.78
Ge 0.5641 0.2500 0.0295  4 Pd 2.61-2.77, 1 Ge 2.90
Ge 0.6772 0.7500 0.1650  4 Pd 2.64-2.72, 1 Ge 2.86
Ge 0.6935 0.7500 0.7531  3 Pd 2.57-2.65, 2 Ge 2.78-2.86
Ge 0.8065 0.2500 0.2531  3 Pd 2.57-2.65, 2 Ge 2.78-2.86
Ge 0.8228 0.2500 0.6650  4 Pd 2.64-2.72, 1 Ge 2.86
Ge 0.9359 0.7500 0.5295  4 Pd 2.61-2.77, 1 Ge 2.90
Ge 0.9607 0.2500 0.1411  3 Pd 2.56-2.61, 1 Ge 2.78
Pd 0.0302 0.7500 0.2352  7 Ge 2.56-2.77
Pd 0.2145 0.2500 0.5535  7 Ge 2.57-2.72
Pd 0.2855 0.7500 0.0535  7 Ge 2.57-2.72
Pd 0.4698 0.2500 0.7352  7 Ge 2.56-2.77
Pd 0.5302 0.7500 0.2648  7 Ge 2.56-2.77
Pd 0.7145 0.2500 0.9465  7 Ge 2.57-2.72
Pd 0.7855 0.7500 0.4465  7 Ge 2.57-2.72
Pd 0.9698 0.2500 0.7648  7 Ge 2.56-2.77

=====

(4)
Sc2AsBr | PBE | relaxed

Properties
Formation energy (no corrections) in eV/atom: -0.9714

Lattice parameters (Å, degrees): 3.5590 3.5177 7.3018 90.00 90.11 90.00
Closest atoms and distances in Å follow each position.
Fractional coordinates of all 4 atoms:
Sc 0.0009 0.0000 0.1957  2 Br 2.83, 1 Sc 2.86, 4 As 2.88
Sc 0.9991 0.0000 0.8043  2 Br 2.83, 1 Sc 2.86, 4 As 2.88
As 0.5000 0.5000 0.0000  8 Sc 2.88
Br 0.0000 0.5000 0.5000  4 Sc 2.83

=====

(5)
La2BiAs4Pd3 | PBE | relaxed

Properties
ΔH_f (0 K) in meV per atom: -717

Lattice parameters (Å, degrees): 4.5072 4.5072 10.9938 90.00 90.00 90.00
Closest atoms and distances in Å follow each position.
Fractional coordinates of all 10 atoms:
La 0.0000 0.5000 0.2214  8 As 3.32-3.42, 5 Pd 3.42-3.63
La 0.5000 0.0000 0.7786  8 As 3.32-3.42, 5 Pd 3.42-3.63
Bi 0.0000 0.0000 0.5000  4 As 2.90, 4 Pd 3.19
As 0.0000 0.0000 0.0000  4 Pd 2.55
As 0.0000 0.5000 0.6666  1 Pd 2.47
As 0.5000 0.0000 0.3334  1 Pd 2.47
As 0.5000 0.5000 0.0000  4 Pd 2.55
Pd 0.0000 0.5000 0.8908  5 As 2.47-2.55
Pd 0.5000 0.0000 0.1092  5 As 2.47-2.55
Pd 0.5000 0.5000 0.5000  4 As 2.90, 4 Bi 3.19

=====

(6)
La3AuO6 | PBE | relaxed

Properties
Formation energy (no corrections) in eV/atom: -2.5367

Lattice parameters (Å, degrees): 7.6042 7.6042 5.7836 90.00 90.00 100.66
Closest atoms and distances in Å follow each position.
Fractional coordinates of all 20 atoms:
La 0.1057 0.8943 0.5000  7 O 2.41-2.61
La 0.1670 0.4067 0.5459  5 O 2.34-2.57
La 0.4067 0.1670 0.0459  5 O 2.34-2.57
La 0.5933 0.8330 0.5459  5 O 2.34-2.57
La 0.8330 0.5933 0.0459  5 O 2.34-2.57
La 0.8943 0.1057 0.0000  7 O 2.41-2.61
Au 0.3715 0.6285 0.0456  3 O 2.02-2.17
Au 0.6285 0.3715 0.5456  3 O 2.02-2.17
O 0.0986 0.6050 0.2533  3 La 2.34-2.61, 1 Au 2.38
O 0.1429 0.1667 0.2781  4 La 2.37-2.46
O 0.1667 0.1429 0.7781  4 La 2.37-2.46
O 0.2814 0.7186 0.7479  1 Au 2.02
O 0.3950 0.9014 0.2533  3 La 2.34-2.61, 1 Au 2.38
O 0.4687 0.5313 0.3542  2 Au 2.12-2.17
O 0.5313 0.4687 0.8542  2 Au 2.12-2.17
O 0.6050 0.0986 0.7533  3 La 2.34-2.61, 1 Au 2.38
O 0.7186 0.2814 0.2479  1 Au 2.02
O 0.8333 0.8571 0.2781  4 La 2.37-2.46
O 0.8571 0.8333 0.7781  4 La 2.37-2.46
O 0.9014 0.3950 0.7533  3 La 2.34-2.61, 1 Au 2.38

=====

Number 1: spin magnetization 0.662 μB/cell, raw total energy -5.32 eV/atom. Number 2: spin magnetization 0.000 μB/cell, raw total energy -2.90 eV/atom. Number 3: spin magnetization 0.000 μB/cell, raw total energy -5.56 eV/atom. Number 4: spin magnetization 1.832 μB/cell, raw total energy -5.72 eV/atom. Number 5: spin magnetization 0.000 μB/cell, raw total energy -5.51 eV/atom. Number 6: spin magnetization 0.000 μB/cell, raw total energy -7.32 eV/atom.